1.
The following is a DFT calculation (PBE) of a relaxed structure of RbHfTl3.

POSCAR file:
```
RbHfTl3
1.0
5.946 0.000 0.000
0.000 5.946 0.000
0.000 0.000 5.946
Tl Hf Rb
3 1 1
Cartesian
0.000 2.973 0.000 Tl
0.000 0.000 2.973 Tl
2.973 0.000 0.000 Tl
2.973 2.973 2.973 Hf
0.000 0.000 0.000 Rb
```

Computed properties:
The electronic total energy is -2.11 eV/atom. As for the formation energy: 144.12 kJ/mol of atoms. For the excess energy over the best structure of this formula in the dataset, the calculation gives 1249 meV/atom.



2.
The following is a DFT calculation (PBE) of a relaxed structure of Ba6Na2AgN.

POSCAR file:
```
Ba6Na2AgN
1.0
-2.114 8.409 1.065
-8.181 -1.922 -2.381
3.700 -4.363 6.497
Ba Na Ag N
6 2 1 1
Cartesian
-8.070 4.896 -0.646 Ba
-5.601 2.420 2.558 Ba
1.468 -2.773 5.821 Ba
0.152 1.704 6.756 Ba
-1.002 -0.296 2.617 Ba
-6.753 0.418 -1.581 Ba
-1.787 3.647 3.448 Na
-4.816 -1.524 1.731 Na
-1.451 -1.120 5.835 Ag
1.583 4.046 7.558 N
```

Computed properties:
The electronic total energy is -2.67 eV/atom. The calculation puts the uncorrected formation energy at -131 meV per atom.



3.
The following is a DFT calculation (PBE) of a relaxed structure of AlGeAu2Se4.

POSCAR file:
```
AlGeAu2Se4
1.0
6.003 0.000 -0.003
-0.001 6.002 -0.004
-2.998 -2.999 5.854
Al Ge Au Se
1 1 2 4
Cartesian
3.005 0.001 5.683 Al
3.000 3.000 2.756 Ge
0.002 3.006 5.683 Au
0.003 0.001 2.761 Au
1.593 1.427 4.285 Se
4.579 1.592 1.233 Se
1.426 4.411 1.231 Se
-1.590 -1.426 4.284 Se
```

Computed properties:
The electronic total energy is -3.85 eV/atom. The calculation puts the uncorrected formation energy at -243 meV per atom.



4.
The following is a DFT calculation (PBE) of a relaxed structure of Cs2Na2ThTe4.

POSCAR file:
```
Cs2Na2ThTe4
1.0
-1.322 4.416 -1.442
-4.132 1.358 7.947
9.198 0.490 1.160
Cs Na Th Te
2 2 1 4
Cartesian
0.003 1.501 4.595 Cs
3.741 4.763 3.071 Cs
-1.619 4.506 7.197 Na
5.363 1.758 0.469 Na
0.000 0.000 0.000 Th
2.443 1.250 1.589 Te
1.301 5.015 6.077 Te
-3.729 3.291 5.410 Te
7.473 2.973 2.256 Te
```

Computed properties:
The electronic total energy is -3.83 eV/atom. The calculation puts the uncorrected formation energy at -1124 meV per atom.



5.
The following is a DFT calculation (PBE) of a relaxed structure of Cr2HgPt.

POSCAR file:
```
Cr2HgPt
1.0
-2.936 3.248 1.147
-3.911 0.409 -2.241
-3.896 -1.086 2.031
Cr Hg Pt
2 1 1
Cartesian
0.000 0.000 0.000 Cr
-2.686 0.643 0.234 Cr
-5.372 1.285 0.468 Hg
-8.058 1.928 0.703 Pt
```

Computed properties:
The electronic total energy is -6.00 eV/atom. As for the formation energy: 37.92 kJ/mol of atoms.



6.
The following is a DFT calculation (PBE) of a relaxed structure of Y2MgZn3Ga4.

POSCAR file:
```
Y2MgZn3Ga4
1.0
-1.754 3.779 -0.068
-3.005 -1.349 2.552
6.067 2.972 8.716
Y Mg Zn Ga
2 1 3 4
Cartesian
0.581 2.604 2.062 Y
3.106 1.583 7.897 Y
0.654 2.701 5.600 Mg
3.034 1.486 4.358 Zn
4.367 4.458 7.500 Zn
-0.679 -0.271 2.459 Zn
-2.380 1.215 1.242 Ga
0.000 0.000 0.000 Ga
3.049 3.813 5.606 Ga
0.639 0.374 4.353 Ga
```

Computed properties:
The electronic total energy is -3.46 eV/atom. As for the formation energy: -39.90 kJ/mol of atoms.



7.
The following is a DFT calculation (PBE) of a relaxed structure of TbErGa2Ni2.

POSCAR file:
```
TbErGa2Ni2
1.0
4.259 0.000 0.000
-2.129 3.688 0.000
0.000 0.000 7.092
Tb Er Ga Ni
1 1 2 2
Cartesian
0.000 0.000 0.000 Tb
0.000 0.000 3.546 Er
2.129 1.229 5.271 Ga
0.000 2.459 1.822 Ga
2.129 1.229 1.843 Ni
0.000 2.459 5.249 Ni
```

Computed properties:
The electronic total energy is -5.08 eV/atom. As for the formation energy: -58.95 kJ/mol of atoms.



8.
The following is a DFT calculation (PBE) of a relaxed structure of Pa6Ti.

POSCAR file:
```
Pa6Ti
1.0
-0.536 -3.204 0.094
7.687 -0.161 0.920
-4.357 2.006 6.080
Pa Ti
6 1
Cartesian
0.533 -0.324 5.559 Pa
-2.307 -0.969 4.832 Pa
2.777 -2.138 4.277 Pa
0.018 0.780 2.816 Pa
5.102 -0.389 2.261 Pa
2.262 -1.034 1.534 Pa
-0.268 -1.602 0.047 Ti
```

Computed properties:
The electronic total energy is -9.14 eV/atom. As for the formation energy: 12.64 kJ/mol of atoms.



9.
The following is a DFT calculation (PBE) of a relaxed structure of Al2InNi2.

POSCAR file:
```
Al2InNi2
1.0
-3.106 0.602 -1.921
1.637 -1.300 -3.055
-2.524 -5.564 -1.228
Ni Al In
2 2 1
Cartesian
-1.126 -1.489 -2.212 Ni
-2.868 -4.773 -3.991 Ni
-3.183 -2.656 -2.818 Al
-0.811 -3.607 -3.385 Al
0.000 0.000 0.000 In
```

Computed properties:
The electronic total energy is -4.58 eV/atom. As for the formation energy: -21.88 kJ/mol of atoms.



10.
The following is a DFT calculation (PBE) of a relaxed structure of MgZn2Cd2.

POSCAR file:
```
MgZn2Cd2
1.0
-3.251 2.578 0.009
-2.386 -3.004 -1.582
-4.277 -2.071 4.942
Zn Mg Cd
2 1 2
Cartesian
-3.101 -0.572 0.320 Zn
-6.814 -1.925 3.049 Zn
0.000 0.000 0.000 Mg
-5.174 0.147 2.082 Cd
-4.741 -2.644 1.287 Cd
```

Computed properties:
The electronic total energy is -1.12 eV/atom. As for the formation energy: 7.29 kJ/mol of atoms. For the excess energy over the best structure of this formula in the dataset, the calculation gives 24 meV/atom.



11.
The following is a DFT calculation (PBE) of a relaxed structure of La5Pm3Pr3.

POSCAR file:
```
La5Pm3Pr3
1.0
-5.183 2.131 -0.140
-1.788 -4.903 -8.435
-1.988 -4.265 8.732
La Pm Pr
5 3 3
Cartesian
-4.447 -3.624 -2.783 La
-4.513 -3.412 2.940 La
-3.243 -0.721 -3.143 La
-4.993 -4.762 0.119 La
-3.316 -0.488 3.111 La
-3.908 -2.542 -6.276 Pm
-3.590 -1.357 0.009 Pm
-4.055 -2.072 6.355 Pm
-1.038 -2.846 -4.897 Pr
-1.154 -2.476 5.069 Pr
-1.584 -3.846 0.124 Pr
```

Computed properties:
The electronic total energy is -4.17 eV/atom. As for the formation energy: 64.34 kJ/mol of atoms. For the excess energy over the best structure of this formula in the dataset, the calculation gives 21 meV/atom.



12.
The following is a DFT calculation (PBE) of a relaxed structure of Mg2ZrHg.

POSCAR file:
```
Mg2ZrHg
1.0
4.356 0.000 0.000
0.000 4.354 0.000
0.000 0.000 4.478
Mg Hg Zr
2 1 1
Cartesian
0.000 0.000 0.000 Mg
2.178 2.177 0.000 Mg
0.000 2.177 2.239 Hg
2.178 0.000 2.239 Zr
```

Computed properties:
The electronic total energy is -3.14 eV/atom. As for the formation energy: -12.37 kJ/mol of atoms.